## YAuSe2 (PBE)

Data for YAuSe2 after structural relaxation.

```
data_YAuSe2
_chemical_formula_sum 'Y4 Au4 Se8'
_space_group_name_H-M_alt 'P n a 21'
_space_group_IT_number 33
_space_group_name_Hall 'P 2c -2n'
_cell_length_a 7.0140
_cell_length_b 8.4407
_cell_length_c 6.6612
_cell_angle_alpha 90.00
_cell_angle_beta 90.00
_cell_angle_gamma 90.00
loop_
_atom_site_label
_atom_site_type_symbol
_atom_site_fract_x
_atom_site_fract_y
_atom_site_fract_z
_atom_site_occupancy
Y1 Y 0.2500 0.0941 0.0000 1
Au1 Au 0.2492 0.4605 0.9995 1
Se1 Se 0.0548 0.3462 0.2818 1
Se2 Se 0.0549 0.8464 0.2183 1
```

Results
Its total energy is -84.782 eV for the cell shown.